This record from OQMD describes a relaxed LuAgNO crystal. The functional is PBE.

Unit cell a=4.7684 b=4.7684 c=4.4591 alpha=90.00 beta=90.00 gamma=90.00
Space group P4/nmm (No. 129, origin choice 2)
Asymmetric unit:
Lu  0.2500  0.7500  0.0000 [2 per cell]
Ag  0.2500  0.2500  0.4971 [2 per cell]
N  0.2500  0.2500  0.9971 [2 per cell]
O  0.2500  0.7500  0.5000 [2 per cell]

* crystal system: tetragonal
* E above lowest polymorph: 0 meV per atom

---

This record from OQMD describes a relaxed Pr2Si3Ir crystal. The functional is PBE.

Unit cell a=8.2950 b=8.5839 c=14.3114 alpha=90.00 beta=90.00 gamma=90.00
Space group Fmmm (No. 69)
Asymmetric unit:
Pr  0.0000  0.2487  0.0000 [8 per cell]
Pr  0.2500  0.2500  0.2500 [8 per cell]
Si  0.0000  0.0000  0.3326 [8 per cell]
Si  0.2497  0.0000  0.0840 [16 per cell]
Ir  0.0000  0.0000  0.1665 [8 per cell]

* crystal system: orthorhombic
* uncorrected energy: -39.9 eV per formula unit

---

This record from OQMD describes a relaxed HfCdO3 crystal. The functional is PBE.

Unit cell a=5.8403 b=5.8403 c=13.5142 alpha=90.00 beta=90.00 gamma=120.00
Space group R-3c (No. 167, hexagonal axes)
Asymmetric unit:
Hf  0.0000  0.0000  0.2500 [6 per cell]
Cd  0.0000  0.0000  0.0000 [6 per cell]
O  0.9996  0.3333  0.0833 [18 per cell]

* crystal system: trigonal
* uncorrected energy: -35.9 eV per formula unit

---

This record from OQMD describes a relaxed KNbAsO crystal. The functional is PBE.

Unit cell a=3.7093 b=3.7093 c=9.9569 alpha=90.00 beta=90.00 gamma=90.00
Space group P4/nmm (No. 129, origin choice 2)
Asymmetric unit:
K  0.2500  0.7500  0.0000 [2 per cell]
Nb  0.2500  0.2500  0.3819 [2 per cell]
As  0.2500  0.2500  0.7482 [2 per cell]
O  0.2500  0.7500  0.5000 [2 per cell]

* crystal system: tetragonal
* E above lowest polymorph: 581 meV per atom

---

This record from OQMD describes a relaxed Zn6NiCl3 crystal. The functional is PBE.

Unit cell a=7.2956 b=7.2956 c=9.1913 alpha=90.00 beta=90.00 gamma=90.00
Space group I4/mmm (No. 139)
Asymmetric unit:
Zn  0.0000  0.0000  0.2435 [4 per cell]
Zn  0.0000  0.3114  0.0000 [8 per cell]
Ni  0.0000  0.0000  0.0000 [2 per cell]
Cl  0.0000  0.0000  0.5000 [2 per cell]
Cl  0.0000  0.5000  0.2500 [4 per cell]

* crystal system: tetragonal
* uncorrected energy: -20.5 eV per formula unit

---

This record from OQMD describes a relaxed Sc4Sb3W2C3 crystal. The functional is PBE.

Unit cell a=10.0278 b=5.8288 c=14.0036 alpha=90.00 beta=103.20 gamma=90.00
Space group C2/c (No. 15)
Asymmetric unit:
Sc  0.1118  0.0729  0.0891 [8 per cell]
Sc  0.2153  0.0893  0.4109 [8 per cell]
Sb  0.0000  0.1125  0.7500 [4 per cell]
Sb  0.1586  0.4264  0.2501 [8 per cell]
W  0.0679  0.4094  0.9257 [8 per cell]
C  0.0779  0.2664  0.5003 [8 per cell]
C  0.2500  0.2500  0.0000 [4 per cell]

* crystal system: monoclinic
* uncorrected energy: -97.1 eV per formula unit

---

Density: 10.247, 7.278, 8.458, 5.404, 3.785, 7.908 (g/cm³)